The following is a DFT calculation (PBE) of a relaxed structure of Sm12Ga3Au5.

Output
- ΔE_f: -216 meV/atom
- Magnetization: 0.000 μB/f.u.
- Energy: -4.32 eV/atom
- Density: 7.50 g/cm3

Cell: 15.108 15.108 15.108 Å, 109.47 109.47 109.47°
Atoms (fractional coordinates):
Sm 0.632 0.054 0.223
Sm 0.223 0.554 0.632
Sm 0.554 0.223 0.132
Sm 0.632 0.578 0.910
Sm 0.868 0.590 0.922
Sm 0.078 0.169 0.446
Sm 0.910 0.078 0.632
Sm 0.054 0.632 0.723
Sm 0.368 0.422 0.090
Sm 0.054 0.422 0.831
Sm 0.331 0.777 0.410
Sm 0.410 0.132 0.578
Sm 0.669 0.223 0.590
Sm 0.331 0.554 0.422
Sm 0.578 0.946 0.669
Sm 0.831 0.910 0.277
Sm 0.910 0.831 0.777
Sm 0.132 0.723 0.554
Sm 0.946 0.368 0.277
Sm 0.922 0.831 0.554
Sm 0.590 0.723 0.669
Sm 0.554 0.331 0.922
Sm 0.422 0.054 0.331
Sm 0.368 0.946 0.777
Sm 0.590 0.868 0.422
Sm 0.446 0.777 0.868
Sm 0.277 0.868 0.946
Sm 0.410 0.277 0.331
Sm 0.078 0.910 0.132
Sm 0.223 0.669 0.090
Sm 0.777 0.331 0.910
Sm 0.723 0.132 0.054
Sm 0.090 0.169 0.223
Sm 0.578 0.632 0.410
Sm 0.169 0.078 0.946
Sm 0.277 0.410 0.831
Sm 0.723 0.590 0.169
Sm 0.831 0.922 0.054
Sm 0.777 0.446 0.368
Sm 0.169 0.090 0.723
Sm 0.922 0.090 0.868
Sm 0.422 0.368 0.590
Sm 0.669 0.446 0.578
Sm 0.446 0.669 0.078
Sm 0.868 0.277 0.446
Sm 0.946 0.578 0.169
Sm 0.132 0.410 0.078
Sm 0.090 0.922 0.368
Au 0.750 0.625 0.375
Au 0.000 0.000 0.000
Au 0.375 0.125 0.750
Au 0.125 0.750 0.375
Au 0.125 0.375 0.250
Au 0.000 0.000 0.500
Au 0.000 0.500 0.000
Au 0.250 0.875 0.125
Au 0.875 0.625 0.750
Au 0.625 0.750 0.875
Au 0.500 0.000 0.500
Au 0.250 0.375 0.625
Au 0.500 0.500 0.000
Au 0.000 0.500 0.500
Au 0.750 0.125 0.875
Au 0.375 0.250 0.125
Au 0.500 0.500 0.500
Au 0.875 0.250 0.625
Au 0.625 0.875 0.250
Au 0.500 0.000 0.000
Ga 0.125 0.875 0.750
Ga 0.375 0.750 0.625
Ga 0.125 0.250 0.875
Ga 0.250 0.625 0.875
Ga 0.875 0.750 0.125
Ga 0.625 0.250 0.375
Ga 0.750 0.375 0.125
Ga 0.875 0.125 0.250
Ga 0.625 0.375 0.750
Ga 0.250 0.125 0.375
Ga 0.750 0.875 0.625
Ga 0.375 0.625 0.250